Entry 1:
{
  "formula": "NbCuSi",
  "functional": "PBE-GGA",
  "state": "optimized geometry",
  "formation_energy_uncorrected_ev_per_atom": -0.240,
  "mass_density_g_cm3": 6.99,
  "space_group": "Cm",
  "energy_ev_per_fu": -20.31,
  "cell": [[5.589, 0.000, 0.001], [0.000, 3.667, 0.000], [-3.710, 0.000, 8.558]],
  "species": ["Nb", "Si", "Cu", "Si", "Cu", "Cu", "Cu", "Nb", "Nb", "Si", "Si", "Nb"],
  "frac_coords": [[0.916, 0.000, 0.996], [0.410, 0.000, 0.983], [0.060, 0.500, 0.827], [0.410, 0.500, 0.483], [0.060, 0.000, 0.327], [0.716, 0.000, 0.646], [0.716, 0.500, 0.146], [0.536, 0.000, 0.299], [0.536, 0.500, 0.799], [0.183, 0.500, 0.185], [0.183, 0.000, 0.685], [0.916, 0.500, 0.496]]
}

***

Entry 2:
{
  "formula": "MgGa3Se",
  "functional": "PBE-GGA",
  "state": "optimized geometry",
  "formation_energy_uncorrected_ev_per_atom": 0.372,
  "mass_density_g_cm3": 3.59,
  "space_group": "Pm-3m",
  "e_above_lowest_polymorph_mev_per_atom": 6,
  "energy_ev_per_fu": -12.30,
  "cell": [[5.247, 0.000, 0.000], [0.000, 5.247, 0.000], [0.000, 0.000, 5.247]],
  "species": ["Ga", "Ga", "Se", "Mg", "Ga"],
  "frac_coords": [[0.000, 0.500, 0.000], [0.500, 0.000, 0.000], [0.000, 0.000, 0.000], [0.500, 0.500, 0.500], [0.000, 0.000, 0.500]]
}